[1]
Density functional theory data (PBE-GGA) for a relaxed structure of Ta2TcHg.

```
8
Lattice="7.4536 0.0000 0.0000 0.0000 7.4536 0.0000 3.7268 3.7268 2.8064" Properties=species:S:1:pos:R:3 pbc="T T T"
Ta 9.3170 9.0131 2.1048
Tc 3.7268 3.7268 0.0000
Ta 2.1672 5.5902 0.7016
Hg 0.0000 0.0000 0.0000
Ta 5.2863 1.8634 0.7016
Ta 5.5902 5.8940 2.1048
Tc 3.7268 7.4536 1.4032
Hg 7.4536 3.7268 1.4032
```

Results
energy relative to the elements	2.53	eV per formula unit

***

[2]
Density functional theory data (PBE-GGA) for a relaxed structure of CaY2SiHg.

```
5
Lattice="5.6672 0.0000 0.0000 0.0000 5.2287 0.0000 0.0000 0.0000 5.6672" Properties=species:S:1:pos:R:3 pbc="T T T"
Ca 0.0000 0.0000 0.0000
Y 0.0000 0.0000 2.8336
Hg 0.0000 2.6144 0.0000
Y 2.8336 0.0000 0.0000
Si 2.8336 2.6144 2.8336
```

Results
total energy	-2.9984	eV per atom

***

[3]
Density functional theory data (PBE-GGA) for a relaxed structure of Sr3Ac3PrSe8.

```
15
Lattice="8.8733 0.0000 0.0000 -4.4366 7.6821 -0.0264 0.0000 -5.0965 7.2823" Properties=species:S:1:pos:R:3 pbc="T T T"
Se 2.2917 3.9022 5.3668
Se 0.0000 -0.0651 5.3813
Sr 0.0000 0.0000 0.0000
Se -2.2917 3.9022 5.3668
Se 2.1449 -1.3166 1.8891
Pr 0.0000 -2.5482 3.6411
Se 6.7283 -1.3166 1.8891
Ac 2.2183 1.2928 3.6279
Ac 4.4366 -2.5482 3.6411
Se 4.4366 0.0190 5.4738
Se 0.0000 2.5667 1.7821
Sr 2.2183 3.8411 -0.0132
Se 4.4366 2.6507 1.8746
Ac -2.2183 1.2928 3.6279
Sr -2.2183 3.8411 -0.0132
```

Results
total energy	-5.2935	eV per atom

***

[4]
Density functional theory data (PBE-GGA) for a relaxed structure of Mo2PtCl.

```
4
Lattice="5.3409 0.0669 -0.1040 4.5782 2.7515 -0.1040 1.2542 0.3564 4.5666" Properties=species:S:1:pos:R:3 pbc="T T T"
Pt 5.4346 1.5441 2.6112
Mo 8.1199 2.3071 2.7800
Cl 2.7287 0.7753 0.9507
Mo 0.4768 0.1355 0.1960
```

Results
distance to the lowest polymorph of the same formula	0.2423	eV per atom

***

[5]
Density functional theory data (PBE-GGA) for a relaxed structure of NdTh9O20.

```
30
Lattice="-5.6826 -2.1552 -3.2357 5.4410 -5.7315 -0.8554 -2.8824 -1.2223 8.3172" Properties=species:S:1:pos:R:3 pbc="T T T"
O -1.5363 -2.4012 6.6898
Th -5.7320 -3.0392 2.3256
O 1.2055 -6.7599 -2.4795
Th -2.9453 -3.5664 5.1105
Th -2.9051 -2.6957 -0.4621
Th -0.2190 -6.4134 4.6881
O 1.1660 -7.2148 0.2944
O -4.3543 -4.6498 3.4746
O -1.6472 -7.5382 3.0764
O 1.2302 -4.4592 0.7514
O 1.2439 -5.3224 6.2613
O -4.2900 -1.8942 3.9317
O -4.3656 -4.2550 0.7164
O -1.4768 -1.5708 1.1497
Th 0.0000 0.0000 0.0000
O -1.6435 -7.1137 0.3009
O -4.3295 -2.3491 6.7055
O -1.5061 -3.8785 -2.0180
O -1.5598 -4.7683 3.4973
O -1.5878 -6.7078 -2.4637
Th 2.6080 -6.0698 1.9005
Nd 2.7205 -2.8657 -0.4277
O -1.5642 -4.3408 0.7287
O 1.2416 -4.8540 3.5097
O -1.4805 -1.9953 3.9251
Th -3.0160 -5.8971 1.9020
Th -0.1080 -3.2119 2.3240
Th -0.1788 -5.5426 -0.8845
O -4.3679 -3.7866 -2.0353
O -1.6179 -5.2305 6.2441
```

Results
total energy	-9.4619	eV per atom

***

[6]
Density functional theory data (PBE-GGA) for a relaxed structure of BaYW.

```
3
Lattice="-1.0419 -3.2194 -3.8709 -3.2683 -3.9045 0.7125 -4.6289 0.0814 -2.2363" Properties=species:S:1:pos:R:3 pbc="T T T"
W 0.0000 0.0000 0.0000
Y -4.4695 -3.5212 -2.6974
Ba -6.7043 -5.2818 -4.0460
```

Results
distance to the lowest polymorph of the same formula	1.0721	eV per atom
energy relative to the elements	6.00	eV per formula unit

***

[7]
Density functional theory data (PBE-GGA) for a relaxed structure of SiRhW2.

```
4
Lattice="4.3789 0.0000 0.0000 2.1894 3.7922 0.0000 2.1894 1.2641 3.5753" Properties=species:S:1:pos:R:3 pbc="T T T"
Rh 4.3789 2.5281 1.7877
Si 6.5683 3.7922 2.6815
W 2.1894 1.2641 0.8938
W 0.0000 0.0000 0.0000
```

Results
total energy	-9.6188	eV per atom

***

[8]
Density functional theory data (PBE-GGA) for a relaxed structure of LaYZr2.

```
4
Lattice="5.8107 -0.0587 -0.0703 1.7941 5.5271 0.0703 -3.7592 -2.7942 3.4399" Properties=species:S:1:pos:R:3 pbc="T T T"
La 3.8040 2.7354 0.0000
Zr 7.6020 5.4665 0.0000
Y 0.9176 2.7328 1.7551
Zr 2.9290 -0.0578 1.6848
```

Results
distance to the lowest polymorph of the same formula	0.0670	eV per atom
energy relative to the elements	0.70	eV per formula unit

***

[9]
Density functional theory data (PBE-GGA) for a relaxed structure of Th5Tl2Cd.

```
8
Lattice="5.5003 0.0000 -1.5119 -0.4156 5.4845 -1.5119 -0.6635 -0.7156 8.3470" Properties=species:S:1:pos:R:3 pbc="T T T"
Tl 0.9469 1.0214 3.4449
Cd 0.0000 0.0000 0.0000
Th 1.1996 4.2603 4.3639
Th 2.5423 2.7423 -1.5119
Tl 3.4742 3.7475 1.8782
Th 0.2637 3.2508 0.9592
Th 3.2216 0.5086 0.9592
Th 4.1575 1.5181 4.3639
```

Results
energy relative to the elements	-0.08	eV per formula unit

***

[10]
Density functional theory data (PBE-GGA) for a relaxed structure of Ba2Li6Tl9.

```
17
Lattice="6.5448 0.0000 0.0000 -3.2724 5.6680 0.0000 0.0000 0.0000 13.3738" Properties=species:S:1:pos:R:3 pbc="T T T"
Li 3.2724 1.8893 0.0000
Li 0.0000 3.7786 8.9062
Tl 1.6362 2.8340 6.6869
Li 3.2724 1.8893 4.4675
Tl 1.6362 2.8340 11.1577
Tl 1.6362 2.8340 2.2161
Li 0.0000 3.7786 0.0000
Tl 3.2724 0.0000 2.2161
Tl -1.6362 2.8340 11.1577
Li 0.0000 3.7786 4.4675
Ba 0.0000 0.0000 4.3209
Tl -1.6362 2.8340 6.6869
Li 3.2724 1.8893 8.9062
Tl 3.2724 0.0000 11.1577
Tl 3.2724 0.0000 6.6869
Ba 0.0000 0.0000 9.0529
Tl -1.6362 2.8340 2.2161
```

Results
energy relative to the elements	-2.64	eV per formula unit

***

[11]
Density functional theory data (PBE-GGA) for a relaxed structure of La6NdDy2.

```
9
Lattice="3.7048 -0.0004 0.0006 0.0004 9.2788 4.2418 -0.0014 1.7092 10.0582" Properties=species:S:1:pos:R:3 pbc="T T T"
Dy 1.8522 1.9415 2.5274
La 3.7045 8.6191 8.5165
La 1.8522 6.8159 6.1344
Nd 0.0000 0.0000 0.0000
La 1.8516 4.1716 8.1662
Dy 1.8516 9.0460 11.7733
La -0.0007 2.3684 5.7841
La 3.7038 6.0084 10.5226
La 0.0000 4.9791 3.7781
```

Results
distance to the lowest polymorph of the same formula	0.0579	eV per atom
energy relative to the elements	1.03	eV per formula unit

***

[12]
Density functional theory data (PBE-GGA) for a relaxed structure of ZnTeP.

```
3
Lattice="0.3774 -4.8736 3.9163 -4.1335 -2.6300 3.9025 1.1179 2.2120 -5.7524" Properties=species:S:1:pos:R:3 pbc="T T T"
Te -1.1711 -2.3395 2.4377
Zn -2.2129 -4.4207 4.6064
P -0.3722 -0.7434 0.7747
```

Results
distance to the lowest polymorph of the same formula	0.2337	eV per atom

***

[13]
Density functional theory data (PBE-GGA) for a relaxed structure of Sm3Dy4Al.

```
8
Lattice="3.5624 0.0000 0.0000 0.0000 3.5624 0.0000 0.0000 0.0000 19.1863" Properties=species:S:1:pos:R:3 pbc="T T T"
Sm 1.7812 1.7812 14.7114
Dy 0.0000 0.0000 1.8823
Sm 1.7812 1.7812 4.4750
Dy 0.0000 0.0000 12.1571
Dy 0.0000 0.0000 17.3041
Al 1.7812 1.7812 0.0000
Dy 0.0000 0.0000 7.0293
Sm 1.7812 1.7812 9.5932
```

Results
energy relative to the elements	-0.68	eV per formula unit

***

[14]
Density functional theory data (PBE-GGA) for a relaxed structure of BaTaS2O.

```
5
Lattice="-2.2008 2.7807 -3.5440 -2.5997 -4.0052 -1.5282 -2.9431 0.9335 2.5601" Properties=species:S:1:pos:R:3 pbc="T T T"
Ba -3.8718 -0.1455 -1.2560
S -1.2998 -2.0026 -0.7641
O -1.4715 0.4667 1.2800
Ta 0.0000 0.0000 0.0000
S -1.1004 1.3904 -1.7720
```

Results
total energy	-7.2946	eV per atom

***

[15]
Density functional theory data (PBE-GGA) for a relaxed structure of GaHN2O.

```
5
Lattice="2.8538 0.0000 0.0000 0.0000 2.8538 0.0000 0.0000 0.0000 5.2479" Properties=species:S:1:pos:R:3 pbc="T T T"
N 0.0000 1.4269 0.0000
N 1.4269 0.0000 0.0000
Ga 1.4269 1.4269 2.6239
H 0.0000 0.0000 0.0000
O 0.0000 0.0000 2.6239
```

Results
total energy	-4.4681	eV per atom

***

[16]
Density functional theory data (PBE-GGA) for a relaxed structure of TlCr2Pd9.

```
12
Lattice="-0.3014 -3.8450 0.9073 1.1939 -0.9561 -3.6550 11.3452 -0.0139 3.7095" Properties=species:S:1:pos:R:3 pbc="T T T"
Pd 5.5219 -1.9295 2.3084
Tl 0.0000 0.0000 0.0000
Pd 9.9052 -0.4894 1.2160
Pd 9.1576 -1.9339 3.4972
Pd 1.8862 -1.9250 1.1197
Cr 7.5013 -0.0092 2.4527
Cr 3.8439 -0.0047 1.2568
Pd 0.4463 -2.4005 -1.3738
Pd 7.9365 -2.4097 1.0752
Pd 2.6338 -0.4805 -1.1615
Pd 6.2695 -0.4850 0.0273
Pd 4.3012 -2.4053 -0.1134
```

Results
energy relative to the elements	-1.37	eV per formula unit

***

[17]
Density functional theory data (PBE-GGA) for a relaxed structure of Si2Tc.

```
6
Lattice="1.5946 4.3522 0.0063 -1.5946 4.3522 0.0063 0.0000 2.7728 6.1799" Properties=species:S:1:pos:R:3 pbc="T T T"
Si 0.0000 5.2221 0.9679
Tc 0.0000 7.6878 1.1161
Si 0.0000 2.5546 2.8783
Si 0.0000 8.9226 3.3141
Si 0.0000 6.2551 5.2246
Tc 0.0000 3.7894 5.0764
```

Results
distance to the lowest polymorph of the same formula	0.0034	eV per atom